# 1
Material: CsTbDyTe3
Method: DFT, PBE
State: relaxed

```
CsTbDyTe3
1.0
5.893 4.976 4.778
-6.599 -0.479 -6.209
-8.156 1.443 8.557
Te Tb Cs Dy
6 2 2 2
Direct
0.120 0.880 0.959 Te
0.880 0.120 0.459 Te
0.435 0.565 0.750 Te
0.565 0.435 0.250 Te
0.880 0.120 0.041 Te
0.120 0.880 0.541 Te
0.500 0.500 0.000 Tb
0.500 0.500 0.500 Tb
0.245 0.755 0.250 Cs
0.755 0.245 0.750 Cs
0.033 0.967 0.750 Dy
0.967 0.033 0.250 Dy
```

Calculated values
For the total energy, the calculation gives -53.9 eV per cell. As for the space-group type: Cmcm.

---

# 2
Material: Cs2DyTmTe4
Method: DFT, PBE
State: relaxed

```
Cs2DyTmTe4
1.0
-1.403 3.981 -1.625
0.393 -3.559 -2.763
-16.891 -4.543 3.451
Cs Te Dy Tm
2 4 1 1
Direct
0.333 0.667 0.750 Cs
0.667 0.333 0.250 Cs
0.667 0.333 0.904 Te
0.333 0.667 0.406 Te
0.667 0.333 0.594 Te
0.333 0.667 0.096 Te
0.000 0.000 0.000 Dy
0.000 0.000 0.500 Tm
```

Calculated values
For the total energy, the calculation gives -34.3 eV per cell. As for the space-group type: P-3m1.

---

# 3
Material: CsDyTmTe3
Method: DFT, PBE
State: relaxed

```
CsDyTmTe3
1.0
-7.374 0.590 -5.305
5.504 -4.883 5.360
-6.545 2.971 9.427
Te Dy Tm Cs
6 2 2 2
Direct
0.436 0.564 0.250 Te
0.120 0.880 0.043 Te
0.880 0.120 0.957 Te
0.880 0.120 0.543 Te
0.564 0.436 0.750 Te
0.120 0.880 0.457 Te
0.500 0.500 0.000 Dy
0.500 0.500 0.500 Dy
0.965 0.035 0.750 Tm
0.035 0.965 0.250 Tm
0.244 0.756 0.750 Cs
0.756 0.244 0.250 Cs
```

Calculated values
For the total energy, the calculation gives -53.4 eV per cell. As for the space-group type: Cmcm.

---

# 4
Material: CsDyTh
Method: DFT, PBE
State: relaxed

```
CsDyTh
1.0
0.000 4.130 4.130
4.130 0.000 4.130
4.130 4.130 0.000
Th Dy Cs
1 1 1
Direct
0.000 0.000 0.000 Th
0.250 0.250 0.250 Dy
0.500 0.500 0.500 Cs
```

Calculated values
For the total energy, the calculation gives -8.5 eV per cell. As for the space-group type: F-43m.

---

# 5
Material: CsDyTh
Method: DFT, PBE
State: relaxed

```
CsDyTh
1.0
-1.059 -5.369 -0.466
-5.099 -1.874 0.808
-2.948 -1.859 -4.245
Dy Cs Th
1 1 1
Direct
0.250 0.250 0.250 Dy
0.000 0.000 0.000 Cs
0.750 0.750 0.750 Th
```

Calculated values
For the total energy, the calculation gives -8.4 eV per cell. As for the space-group type: F-43m.

---

# 6
Material: CsDyTm
Method: DFT, PBE
State: relaxed

```
CsDyTm
1.0
0.000 4.265 4.265
4.265 0.000 4.265
4.265 4.265 0.000
Tm Dy Cs
1 1 1
Direct
0.000 0.000 0.000 Tm
0.750 0.750 0.750 Dy
0.250 0.250 0.250 Cs
```

Calculated values
For the total energy, the calculation gives -6.1 eV per cell. As for the space-group type: F-43m.

---

# 7
Material: CsDyU
Method: DFT, PBE
State: relaxed

```
CsDyU
1.0
0.000 4.093 4.093
4.093 0.000 4.093
4.093 4.093 0.000
Dy Cs U
1 1 1
Direct
0.500 0.500 0.500 Dy
0.000 0.000 0.000 Cs
0.250 0.250 0.250 U
```

Calculated values
For the total energy, the calculation gives -11.0 eV per cell. As for the space-group type: F-43m.

---

# 8
Material: CsDyU
Method: DFT, PBE
State: relaxed

```
CsDyU
1.0
0.000 3.794 3.794
3.794 0.000 3.794
3.794 3.794 0.000
U Cs Dy
1 1 1
Direct
0.750 0.750 0.750 U
0.000 0.000 0.000 Cs
0.250 0.250 0.250 Dy
```

Calculated values
For the total energy, the calculation gives -10.8 eV per cell. As for the space-group type: F-43m.

---

# 9
Material: CsDyY
Method: DFT, PBE
State: relaxed

```
CsDyY
1.0
2.308 -1.479 4.812
4.198 -3.612 0.064
5.112 1.717 1.262
Y Dy Cs
1 1 1
Direct
0.250 0.250 0.250 Y
0.750 0.750 0.750 Dy
0.000 0.000 0.000 Cs
```

Calculated values
For the total energy, the calculation gives -8.1 eV per cell. As for the space-group type: F-43m.

---

# 10
Material: CsDyZr
Method: DFT, PBE
State: relaxed

```
CsDyZr
1.0
-2.560 1.962 4.737
0.642 5.482 1.543
-4.414 3.631 -0.423
Dy Zr Cs
1 1 1
Direct
0.750 0.750 0.750 Dy
0.000 0.000 0.000 Zr
0.250 0.250 0.250 Cs
```

Calculated values
For the total energy, the calculation gives -9.5 eV per cell. As for the space-group type: F-43m.

---

# 11
Material: CsEr2
Method: DFT, PBE
State: relaxed

```
CsEr2
1.0
1.024 -3.541 6.250
-3.962 1.714 5.832
-5.055 -4.602 2.433
Er Cs
4 2
Direct
0.625 0.125 0.625 Er
0.625 0.625 0.125 Er
0.625 0.625 0.625 Er
0.125 0.625 0.625 Er
0.000 0.000 0.000 Cs
0.250 0.250 0.250 Cs
```

Calculated values
For the total energy, the calculation gives -15.6 eV per cell. As for the space-group type: Fd-3m.

---

# 12
Material: CsEr3F10
Method: DFT, PBE
State: relaxed

```
CsEr3F10
1.0
-3.852 -1.827 -6.482
2.564 -5.742 -4.544
-2.326 -2.743 2.159
Er F Cs
3 10 1
Direct
0.015 0.015 0.024 Er
0.015 0.483 0.022 Er
0.483 0.015 0.022 Er
0.714 0.714 0.050 F
0.997 0.517 0.524 F
0.517 0.997 0.524 F
0.836 0.339 0.934 F
0.339 0.836 0.934 F
0.998 0.998 0.525 F
0.339 0.339 0.931 F
0.085 0.714 0.053 F
0.714 0.085 0.053 F
0.171 0.171 0.200 F
0.505 0.505 0.460 Cs
```

Calculated values
For the total energy, the calculation gives -88.5 eV per cell. As for the space-group type: Cm.

---

# 13
Material: Cs2ErHgF6
Method: DFT, PBE
State: relaxed

```
Cs2ErHgF6
1.0
4.705 -1.739 4.123
-3.882 1.398 5.014
-1.989 -4.143 -4.587
Hg F Cs Er
1 6 2 1
Direct
0.500 0.500 0.000 Hg
0.770 0.230 0.000 F
0.230 0.230 0.000 F
0.230 0.230 0.461 F
0.230 0.770 0.000 F
0.770 0.770 0.000 F
0.770 0.770 0.539 F
0.750 0.250 0.500 Cs
0.250 0.750 0.500 Cs
0.000 0.000 0.000 Er
```

Calculated values
For the total energy, the calculation gives -46.5 eV per cell. As for the space-group type: Fm-3m.

---

# 14
Material: CsNa2ErF6
Method: DFT, PBE
State: relaxed

```
CsNa2ErF6
1.0
0.000 4.751 4.751
4.751 0.000 4.751
4.751 4.751 0.000
F Na Cs Er
6 2 1 1
Direct
0.222 0.778 0.222 F
0.778 0.222 0.778 F
0.778 0.222 0.222 F
0.778 0.778 0.222 F
0.222 0.778 0.778 F
0.222 0.222 0.778 F
0.750 0.750 0.750 Na
0.250 0.250 0.250 Na
0.500 0.500 0.500 Cs
0.000 0.000 0.000 Er
```

Calculated values
For the total energy, the calculation gives -49.2 eV per cell. As for the space-group type: Fm-3m.

---

# 15
Material: CsErFeTe3
Method: DFT, PBE
State: relaxed

```
CsErFeTe3
1.0
-7.987 1.882 7.934
0.496 -4.207 1.497
11.517 5.058 10.394
Er Cs Te Fe
4 4 12 4
Direct
0.151 0.750 0.937 Er
0.349 0.250 0.437 Er
0.651 0.750 0.563 Er
0.849 0.250 0.063 Er
0.966 0.750 0.335 Cs
0.034 0.250 0.665 Cs
0.534 0.250 0.835 Cs
0.466 0.750 0.165 Cs
0.473 0.250 0.609 Te
0.027 0.750 0.109 Te
0.769 0.750 0.725 Te
0.731 0.250 0.225 Te
0.804 0.250 0.493 Te
0.973 0.250 0.891 Te
0.231 0.250 0.275 Te
0.269 0.750 0.775 Te
0.527 0.750 0.391 Te
0.196 0.750 0.507 Te
0.304 0.250 0.007 Te
0.696 0.750 0.993 Te
0.347 0.750 0.628 Fe
0.847 0.750 0.872 Fe
0.653 0.250 0.372 Fe
0.153 0.250 0.128 Fe
```

Calculated values
For the total energy, the calculation gives -111.8 eV per cell. As for the space-group type: Pnma.

---

# 16
Material: CsErFeTe3
Method: DFT, PBE
State: relaxed

```
CsErFeTe3
1.0
11.607 0.000 0.000
0.000 4.487 0.000
0.000 0.000 15.799
Fe Cs Te Er
4 4 12 4
Direct
0.756 0.500 0.714 Fe
0.244 0.000 0.286 Fe
0.744 0.000 0.214 Fe
0.256 0.500 0.786 Fe
0.249 0.500 0.504 Cs
0.751 0.000 0.496 Cs
0.251 0.000 0.004 Cs
0.749 0.500 0.996 Cs
0.937 0.000 0.127 Te
0.757 0.000 0.808 Te
0.743 0.500 0.308 Te
0.257 0.000 0.692 Te
0.554 0.000 0.124 Te
0.563 0.500 0.627 Te
0.446 0.500 0.876 Te
0.243 0.500 0.192 Te
0.946 0.500 0.624 Te
0.054 0.000 0.376 Te
0.063 0.500 0.873 Te
0.437 0.000 0.373 Te
0.507 0.000 0.752 Er
0.007 0.000 0.748 Er
0.493 0.500 0.248 Er
0.993 0.500 0.252 Er
```

Calculated values
For the total energy, the calculation gives -113.1 eV per cell. As for the space-group type: Pnma.

---

# 17
Material: CsErFeTe3
Method: DFT, PBE
State: relaxed

```
CsErFeTe3
1.0
9.895 0.000 0.000
0.000 4.319 0.000
-4.637 0.000 10.432
Te Fe Cs Er
6 2 2 2
Direct
0.957 0.750 0.144 Te
0.405 0.750 0.178 Te
0.721 0.750 0.557 Te
0.595 0.250 0.822 Te
0.279 0.250 0.443 Te
0.043 0.250 0.856 Te
0.434 0.750 0.420 Fe
0.566 0.250 0.580 Fe
0.252 0.750 0.720 Cs
0.748 0.250 0.280 Cs
0.826 0.750 0.856 Er
0.174 0.250 0.144 Er
```

Calculated values
For the total energy, the calculation gives -56.9 eV per cell. As for the space-group type: P2_1/m.

---

# 18
Material: CsErFeTe3
Method: DFT, PBE
State: relaxed

```
CsErFeTe3
1.0
8.609 -2.184 0.000
8.609 2.184 0.000
0.000 0.000 11.428
Cs Te Er Fe
2 6 2 2
Direct
0.255 0.255 0.750 Cs
0.745 0.745 0.250 Cs
0.382 0.382 0.060 Te
0.941 0.941 0.750 Te
0.382 0.382 0.440 Te
0.618 0.618 0.560 Te
0.618 0.618 0.940 Te
0.059 0.059 0.250 Te
0.000 0.000 0.000 Er
0.000 0.000 0.500 Er
0.533 0.533 0.750 Fe
0.467 0.467 0.250 Fe
```

Calculated values
For the total energy, the calculation gives -56.8 eV per cell. As for the space-group type: Cmcm.

---

# 19
Material: CsErFeTe3
Method: DFT, PBE
State: relaxed

```
CsErFeTe3
1.0
11.476 0.000 0.000
0.000 4.374 0.000
0.000 0.000 17.337
Te Er Fe Cs
12 4 4 4
Direct
0.941 0.750 0.632 Te
0.248 0.750 0.192 Te
0.252 0.250 0.692 Te
0.559 0.250 0.132 Te
0.059 0.250 0.368 Te
0.441 0.750 0.868 Te
0.062 0.750 0.868 Te
0.938 0.250 0.132 Te
0.438 0.250 0.368 Te
0.748 0.750 0.308 Te
0.562 0.750 0.632 Te
0.752 0.250 0.808 Te
0.502 0.250 0.750 Er
0.002 0.250 0.750 Er
0.998 0.750 0.250 Er
0.498 0.750 0.250 Er
0.252 0.750 0.783 Fe
0.752 0.750 0.717 Fe
0.748 0.250 0.217 Fe
0.248 0.250 0.283 Fe
0.252 0.250 0.006 Cs
0.752 0.250 0.494 Cs
0.748 0.750 0.994 Cs
0.248 0.750 0.506 Cs
```

Calculated values
For the total energy, the calculation gives -113.7 eV per cell. As for the space-group type: Pnma.

---

# 20
Material: CsErFeTe3
Method: DFT, PBE
State: relaxed

```
CsErFeTe3
1.0
9.307 -2.288 0.000
9.307 2.288 0.000
-1.929 0.000 9.711
Te Er Cs Fe
6 2 2 2
Direct
0.500 0.500 0.500 Te
0.663 0.663 0.861 Te
0.337 0.337 0.139 Te
0.352 0.352 0.735 Te
0.000 0.000 0.000 Te
0.648 0.648 0.265 Te
0.166 0.166 0.073 Er
0.834 0.834 0.927 Er
0.845 0.845 0.436 Cs
0.155 0.155 0.564 Cs
0.498 0.498 0.223 Fe
0.502 0.502 0.777 Fe
```

Calculated values
For the total energy, the calculation gives -54.1 eV per cell. As for the space-group type: C2/m.

---

# 21
Material: CsErGa
Method: DFT, PBE
State: relaxed

```
CsErGa
1.0
0.179 -0.157 5.340
-4.534 0.075 2.829
-1.601 -4.387 2.599
Er Cs Ga
1 1 1
Direct
0.000 0.000 0.000 Er
0.250 0.250 0.250 Cs
0.750 0.750 0.750 Ga
```

Calculated values
For the total energy, the calculation gives -6.5 eV per cell. As for the space-group type: F-43m.

---

# 22
Material: CsErGaTe3
Method: DFT, PBE
State: relaxed

```
CsErGaTe3
1.0
-8.428 -0.346 -1.906
6.420 -2.342 5.299
-1.859 9.578 6.487
Te Ga Cs Er
6 2 2 2
Direct
0.057 0.943 0.750 Te
0.619 0.381 0.449 Te
0.619 0.381 0.051 Te
0.943 0.057 0.250 Te
0.381 0.619 0.949 Te
0.381 0.619 0.551 Te
0.472 0.528 0.750 Ga
0.528 0.472 0.250 Ga
0.750 0.250 0.750 Cs
0.250 0.750 0.250 Cs
0.000 0.000 0.000 Er
0.000 0.000 0.500 Er
```

Calculated values
For the total energy, the calculation gives -47.2 eV per cell. As for the space-group type: Cmcm.

---

# 23
Material: CsGdEr
Method: DFT, PBE
State: relaxed

```
CsGdEr
1.0
-1.828 -5.755 -0.385
-4.934 -1.399 -3.212
0.542 -3.003 -5.225
Er Cs Gd
1 1 1
Direct
0.000 0.000 0.000 Er
0.250 0.250 0.250 Cs
0.750 0.750 0.750 Gd
```

Calculated values
For the total energy, the calculation gives -6.3 eV per cell. As for the space-group type: F-43m.